The following is a PBE calculation of Na3CdTe after structural relaxation, from Alexandria via LeMat-Bulk.

The structure in extended XYZ format:
```
5
Lattice="5.6168 0.0000 0.0000 0.0000 5.6168 0.0000 0.0000 0.0000 5.6168" Properties=species:S:1:pos:R:3 pbc="T T T"
Na 0.0000 0.0000 2.8084
Na 0.0000 2.8084 0.0000
Na 2.8084 0.0000 0.0000
Cd 0.0000 0.0000 0.0000
Te 2.8084 2.8084 2.8084
```

Output
N(E_F) = 4.31 states/eV/cell
Formation energy without anion corrections = -0.027 eV per atom
Raw total energy = -1.63 eV/atom
Energy above the lowest structure with this stoichiometry = 1.53 eV/f.u.
SG = Pm-3m, No. 221

=====

The following is a PBE calculation of CePr2HoEr5 after structural relaxation, from Alexandria via LeMat-Bulk.

The structure in extended XYZ format:
```
18
Lattice="-4.2762 4.2762 7.8307 4.2762 -4.2762 7.8307 4.2762 4.2762 -7.8307" Properties=species:S:1:pos:R:3 pbc="T T T"
Ce 4.2762 0.0000 3.9153
Ce 0.0000 4.2762 3.9153
Pr 5.3080 1.0318 0.0000
Pr 1.0318 3.2444 0.0000
Pr 3.2444 1.0318 7.8307
Pr -1.0318 3.2444 7.8307
Ho 0.0000 0.0000 3.9153
Ho 0.0000 0.0000 11.7460
Er 0.0000 0.0000 0.0000
Er 2.5098 1.7664 -2.2246
Er 2.5098 -1.7664 5.6061
Er 2.5098 1.7664 2.2246
Er 2.5098 -1.7664 10.0553
Er 0.0000 0.0000 7.8307
Er 1.7664 6.0426 -2.2246
Er 1.7664 2.5098 5.6061
Er 1.7664 6.0426 2.2246
Er 1.7664 2.5098 10.0553
```

Output
N(E_F) = 30.55 states/eV/cell
Raw total energy = -4.49 eV/atom
SG = I4/mcm, No. 140
Formation energy from the elements = 0.275 eV per atom

=====

The following is a PBE calculation of Nd2YHo5 after structural relaxation, from Alexandria via LeMat-Bulk.

The structure in extended XYZ format:
```
16
Lattice="7.1408 0.0000 0.0000 0.0000 14.2818 0.0000 0.0000 0.0000 5.0454" Properties=species:S:1:pos:R:3 pbc="T T T"
Nd 1.7866 1.7918 0.0000
Nd 1.7838 8.9327 0.0000
Nd 5.3570 5.3491 0.0000
Nd 5.3542 12.4900 0.0000
Y 0.0000 0.0000 2.5227
Y 3.5704 7.1409 2.5227
Ho 0.0000 7.1409 2.5227
Ho 0.0057 10.7025 2.5227
Ho 1.7764 5.3490 0.0000
Ho 1.7940 12.4899 0.0000
Ho 3.5647 3.5616 2.5227
Ho 3.5704 0.0000 2.5227
Ho 3.5761 10.7202 2.5227
Ho 5.3468 1.7919 0.0000
Ho 5.3644 8.9328 0.0000
Ho 7.1351 3.5793 2.5227
```

Output
N(E_F) = 22.14 states/eV/cell
Raw total energy = -4.84 eV/atom
Energy above the lowest structure with this stoichiometry = 0.00 eV/f.u.
SG = Pbam, No. 55
Formation energy from the elements = 0.021 eV per atom

=====

The following is a PBE calculation of InNiAsBr2 after structural relaxation, from Alexandria via LeMat-Bulk.

The structure in extended XYZ format:
```
5
Lattice="5.4390 0.0000 0.0000 0.0000 5.4390 0.0000 0.0000 0.0000 5.4397" Properties=species:S:1:pos:R:3 pbc="T T T"
In 0.0000 0.0000 0.0000
Ni 2.7195 2.7195 2.7199
As 0.0000 0.0000 2.7199
Br 0.0000 2.7195 0.0000
Br 2.7195 0.0000 0.0000
```

Output
N(E_F) = 6.50 states/eV/cell
Formation energy without anion corrections = 0.718 eV per atom
Raw total energy = -2.58 eV/atom
Energy above the lowest structure with this stoichiometry = 3.62 eV/f.u.
SG = P4/mmm, No. 123